(1)
VASP calculation (PBE) on Sb2SeBr after structural relaxation.

Cell lengths 5.110, 5.110, 7.168 Å; angles 111.06, 111.06, 45.35 degrees
Element x y z (fractional)
1 Sb 0.235 0.235 0.329
2 Sb 0.765 0.765 0.671
3 Se 0.000 0.000 0.500
4 Br 0.500 0.500 0.000

Calculated values
E above lowest polymorph = 0.291 eV/f.u.
space-group type = C2/m (12)

(2)
VASP calculation (PBE) on HoThNi2Ge2 after structural relaxation.

Cell lengths 4.173, 4.173, 7.668 Å; angles 90.00, 90.00, 120.00 degrees
Element x y z (fractional)
1 Ho 0.000 0.000 0.000
2 Th 0.000 0.000 0.500
3 Ni 0.333 0.667 0.236
4 Ni 0.667 0.333 0.764
5 Ge 0.333 0.667 0.761
6 Ge 0.667 0.333 0.239

Calculated values
calculated formation energy = -773 meV/atom
space-group type = P-3m1 (164)

(3)
VASP calculation (PBE) on Tb4Dy2Er3 after structural relaxation.

Cell lengths 9.867, 9.867, 6.103 Å; angles 94.72, 94.72, 71.49 degrees
Element x y z (fractional)
1 Tb 0.096 0.811 0.987
2 Tb 0.144 0.430 0.154
3 Tb 0.189 0.904 0.513
4 Tb 0.430 0.144 0.654
5 Tb 0.570 0.856 0.346
6 Tb 0.811 0.096 0.487
7 Tb 0.856 0.570 0.846
8 Tb 0.904 0.189 0.013
9 Dy 0.238 0.522 0.680
10 Dy 0.478 0.762 0.820
11 Dy 0.522 0.238 0.180
12 Dy 0.762 0.478 0.320
13 Er 0.070 0.264 0.582
14 Er 0.264 0.070 0.082
15 Er 0.403 0.597 0.250
16 Er 0.597 0.403 0.750
17 Er 0.736 0.930 0.918
18 Er 0.930 0.736 0.418

Calculated values
calculated formation energy = 96 meV/atom
space-group type = C2/c (15)

(4)
VASP calculation (PBE) on La2GdCu after structural relaxation.

Cell lengths 11.271, 11.271, 11.271 Å; angles 18.31, 18.31, 18.31 degrees
Element x y z (fractional)
1 La 0.102 0.102 0.102
2 La 0.898 0.898 0.898
3 Gd 0.000 0.000 0.000
4 Cu 0.500 0.500 0.500

Calculated values
E above lowest polymorph = 1.054 eV/f.u.
calculated formation energy = 213 meV/atom
space-group type = R-3m (166)

(5)
VASP calculation (PBE) on Dy2Si4Ir3Os after structural relaxation.

Cell lengths 4.172, 4.172, 9.680 Å; angles 90.00, 90.00, 90.00 degrees
Element x y z (fractional)
1 Dy 0.000 0.500 0.248
2 Dy 0.500 0.000 0.752
3 Si 0.000 0.000 0.000
4 Si 0.000 0.500 0.627
5 Si 0.500 0.000 0.373
6 Si 0.500 0.500 0.000
7 Ir 0.000 0.500 0.873
8 Ir 0.500 0.000 0.127
9 Ir 0.500 0.500 0.500
10 Os 0.000 0.000 0.500

Calculated values
DFT total energy = -7.843 eV per atom
space-group type = P-4m2 (115)

(6)
VASP calculation (PBE) on Ba3CdGa2Ag6 after structural relaxation.

Cell lengths 6.958, 6.958, 8.560 Å; angles 90.00, 90.00, 120.00 degrees
Element x y z (fractional)
1 Ba 0.000 0.000 0.000
2 Ba 0.333 0.667 0.697
3 Ba 0.667 0.333 0.303
4 Cd 0.000 0.000 0.500
5 Ga 0.333 0.667 0.088
6 Ga 0.667 0.333 0.912
7 Ag 0.194 0.388 0.328
8 Ag 0.194 0.806 0.328
9 Ag 0.388 0.194 0.672
10 Ag 0.612 0.806 0.328
11 Ag 0.806 0.194 0.672
12 Ag 0.806 0.612 0.672

Calculated values
calculated formation energy = -131 meV/atom
space-group type = P-3m1 (164)

(7)
VASP calculation (PBE) on MoOs after structural relaxation.

Cell lengths 4.799, 4.799, 4.799 Å; angles 33.60, 33.60, 33.60 degrees
Element x y z (fractional)
1 Mo 0.000 0.000 0.000
2 Os 0.500 0.500 0.500

Calculated values
calculated formation energy = 118 meV/atom
space-group type = R-3m (166)

(8)
VASP calculation (PBE) on Tb3Sm4Y8 after structural relaxation.

Cell lengths 12.494, 12.494, 12.494 Å; angles 32.51, 32.51, 32.51 degrees
Element x y z (fractional)
1 Tb 0.000 0.500 0.500
2 Tb 0.500 0.000 0.500
3 Tb 0.500 0.500 0.000
4 Sm 0.000 0.000 0.000
5 Sm 0.164 0.164 0.164
6 Sm 0.500 0.500 0.500
7 Sm 0.836 0.836 0.836
8 Y 0.250 0.250 0.748
9 Y 0.250 0.748 0.250
10 Y 0.252 0.750 0.750
11 Y 0.255 0.255 0.255
12 Y 0.745 0.745 0.745
13 Y 0.748 0.250 0.250
14 Y 0.750 0.252 0.750
15 Y 0.750 0.750 0.252

Calculated values
E above lowest polymorph = 0.000 eV/f.u.
calculated formation energy = 134 meV/atom
space-group type = R-3m (166)

(9)
VASP calculation (PBE) on LiHo2Hg5 after structural relaxation.

Cell lengths 8.163, 8.163, 8.163 Å; angles 143.94, 143.94, 51.91 degrees
Element x y z (fractional)
1 Li 0.000 0.000 0.000
2 Ho 0.259 0.259 0.000
3 Ho 0.741 0.741 0.000
4 Hg 0.120 0.620 0.500
5 Hg 0.380 0.880 0.500
6 Hg 0.500 0.500 0.000
7 Hg 0.620 0.120 0.500
8 Hg 0.880 0.380 0.500

Calculated values
calculated formation energy = -324 meV/atom
space-group type = I4/mmm (139)